The following is a DFT calculation (GGA+U) of a relaxed FeCu2Bi2O6 crystal.

## Properties
The raw total energy is -181.949 eV/cell.

a = 5.9399 Å, b = 5.9399 Å, c = 15.3826 Å
α = 90.00°, β = 90.00°, γ = 120.00°
Closest atoms and distances in Å follow each position.
Space group R-3m (No. 166, hexagonal axes)
One atom of each set of equivalent atoms:
Fe  0.0000  0.0000  0.0000 x3  6 O 2.04
Cu  0.0000  0.0000  0.4172 x6  3 O 1.91
Bi  0.0000  0.0000  0.1935 x6  3 O 2.21
O  0.0383  0.5191  0.7554 x18  1 Cu 1.91, 1 Fe 2.04